Ac2LaHoP4: relaxed, PBE-GGA.

space group	No. 10
ΔE_f	-1.49	eV/atom
volume	28.0	A^3/atom
Fermi-level density of states	0.086	states/eV/atom
calculated total energy	-51.27	eV/cell

Structure (POSCAR):
```
Ac2LaHoP4
1.0
-4.1797 -0.9314 -0.3467
0.9063 -1.3662 -7.2558
1.6787 -7.1720 -0.9709
Ac P Ho La
2 4 1 1
direct
0.5000 0.0000 0.5000 Ac
0.0000 0.0000 0.0000 Ac
0.0000 0.2652 0.2519 P
0.5000 0.7309 0.2628 P
0.0000 0.7348 0.7481 P
0.5000 0.2691 0.7372 P
0.0000 0.5000 0.5000 Ho
0.5000 0.5000 0.0000 La
```